Entry 1:
Dy2YTm4 after structural relaxation, computed with PBE.

Results
D(E_F)   23.164 states/eV per cell
Energy relative to the elements   0.08 eV per atom

```
Dy2YTm4
1.0
5.9793 0.0000 0.0000
2.9726 7.8097 0.0000
2.9500 -0.2361 9.3010
Dy Y Tm
4 2 8
direct
0.0000 0.0000 0.0000
0.0149 0.9294 0.3594
0.1989 0.4996 0.4999
0.3022 0.0699 0.6401
0.1876 0.5692 0.1395
0.8977 0.4306 0.8607
0.3721 0.6466 0.7766
0.4057 0.1446 0.2782
0.4439 0.2108 0.9226
0.5769 0.7889 0.0770
0.6222 0.7124 0.4228
0.7562 0.2872 0.5774
0.7944 0.3533 0.2238
0.8280 0.8548 0.7210
```

***

Entry 2:
LaPm2HgO after structural relaxation, computed with PBE.

Results
D(E_F)   3.011 states/eV per cell
Energy relative to the elements, uncorrected   -6.750 eV/f.u.

```
LaPm2HgO
1.0
4.9480 0.0000 0.0000
0.0000 4.9480 0.0000
0.0000 0.0000 5.0212
La Pm Hg O
1 2 1 1
direct
0.0000 0.0000 0.0000
0.0000 0.5000 0.5000
0.5000 0.0000 0.5000
0.5000 0.5000 0.0000
0.0000 0.0000 0.5000
```

***

- D(E_F) of number 2 (LaPm2HgO)?
  3.011 states/eV per cell

***

- Look up the D(E_F) of the first one.
  23.164 states/eV per cell

***

- Look up the D(E_F) of the first one.
  23.164 states/eV per cell

***

Copy entry 2 word for word.
LaPm2HgO after structural relaxation, computed with PBE.

Results
D(E_F)   3.011 states/eV per cell
Energy relative to the elements, uncorrected   -6.750 eV/f.u.

```
LaPm2HgO
1.0
4.9480 0.0000 0.0000
0.0000 4.9480 0.0000
0.0000 0.0000 5.0212
La Pm Hg O
1 2 1 1
direct
0.0000 0.0000 0.0000
0.0000 0.5000 0.5000
0.5000 0.0000 0.5000
0.5000 0.5000 0.0000
0.0000 0.0000 0.5000
```